# 1
This record from the Alexandria database describes PmCdCuSb after structural relaxation. The functional is GGA-PBE.

Output
- E: -3.650 eV per atom
- Formation energy without anion corrections: -0.179 eV per atom

Cell and atoms, written as CIF:
```
data_PmCdCuSb
_symmetry_space_group_name_H-M 'F -4 3 m'
_symmetry_Int_Tables_number 216
_symmetry_space_group_name_Hall 'F -4 2 3'
_cell_length_a 7.260
_cell_length_b 7.260
_cell_length_c 7.260
_cell_angle_alpha 90.00
_cell_angle_beta 90.00
_cell_angle_gamma 90.00
loop_
_atom_site_label
_atom_site_fract_x
_atom_site_fract_y
_atom_site_fract_z
Pm1 0.000 0.000 0.000
Cd1 0.000 0.000 0.500
Cu1 0.250 0.250 0.750
Sb1 0.250 0.250 0.250
```


# 2
This record from the Alexandria database describes Mg2Co after structural relaxation. The functional is GGA-PBE.

Output
- E: -3.244 eV per atom

Cell and atoms, written as CIF:
```
data_Mg2Co
_symmetry_space_group_name_H-M 'P -3 m 1'
_symmetry_Int_Tables_number 164
_symmetry_space_group_name_Hall '-P 3 2"'
_cell_length_a 4.4852
_cell_length_b 4.4852
_cell_length_c 2.7934
_cell_angle_alpha 90.00
_cell_angle_beta 90.00
_cell_angle_gamma 120.00
loop_
_atom_site_label
_atom_site_fract_x
_atom_site_fract_y
_atom_site_fract_z
Mg1 0.3333 0.6667 0.3010
Co1 0.0000 0.0000 0.0000
```